(1)
Entry from the Alexandria database: RbPm2CuCl8 after structural relaxation (PBE-GGA).

Properties
Energy relative to the elements, uncorrected, kJ/mol of atoms: -186.1
SG: P-1

Unit cell a=5.3997 b=8.2886 c=8.3878 alpha=95.79 beta=101.66 gamma=100.68
Atoms (fractional coordinates):
1 Rb 0.0000 0.0000 0.0000
2 Pm 0.4701 0.7361 0.4007
3 Pm 0.5299 0.2639 0.5993
4 Cu 0.0000 0.5000 0.0000
5 Cl 0.0523 0.2359 0.6768
6 Cl 0.2598 0.3993 0.3412
7 Cl 0.3438 0.6901 0.0503
8 Cl 0.4561 0.9382 0.6821
9 Cl 0.5439 0.0618 0.3179
10 Cl 0.6562 0.3099 0.9497
11 Cl 0.7402 0.6007 0.6588
12 Cl 0.9477 0.7641 0.3232

***

(2)
Entry from the Alexandria database: Pm4CuSe2Cl after structural relaxation (PBE-GGA).

Properties
Energy relative to the elements, uncorrected, kJ/mol of atoms: -127.2
SG: P2/m

Unit cell a=7.2739 b=4.0476 c=7.3015 alpha=90.00 beta=108.17 gamma=90.00
Atoms (fractional coordinates):
1 Pm 0.2377 0.0000 0.2390
2 Pm 0.2378 0.5000 0.7469
3 Pm 0.7623 0.0000 0.7610
4 Pm 0.7622 0.5000 0.2531
5 Cu 0.0000 0.5000 0.0000
6 Se 0.0000 0.0000 0.5000
7 Se 0.5000 0.5000 0.5000
8 Cl 0.5000 0.0000 0.0000

***

(3)
Entry from the Alexandria database: Pm6CuTc2Cl3 after structural relaxation (PBE-GGA).

Properties
Energy relative to the elements, uncorrected, kJ/mol of atoms: -66.6
SG: C2/m

Unit cell a=6.8723 b=6.8723 c=8.2228 alpha=97.63 beta=97.63 gamma=121.82
Atoms (fractional coordinates):
1 Pm 0.0946 0.4294 0.7724
2 Pm 0.2015 0.2015 0.1885
3 Pm 0.4294 0.0946 0.7724
4 Pm 0.5706 0.9054 0.2276
5 Pm 0.7985 0.7985 0.8115
6 Pm 0.9054 0.5706 0.2276
7 Cu 0.5000 0.5000 0.0000
8 Tc 0.1856 0.8144 0.0000
9 Tc 0.8144 0.1856 0.0000
10 Cl 0.0000 0.0000 0.5000
11 Cl 0.3248 0.6752 0.5000
12 Cl 0.6752 0.3248 0.5000

***

(4)
Entry from the Alexandria database: Pm3CuTeCl after structural relaxation (PBE-GGA).

Properties
Energy relative to the elements, uncorrected, kJ/mol of atoms: -93.0
SG: P2_1/m

Unit cell a=7.4181 b=4.0839 c=11.0810 alpha=90.00 beta=100.03 gamma=90.00
Atoms (fractional coordinates):
1 Pm 0.2200 0.2500 0.0134
2 Pm 0.2396 0.7500 0.3133
3 Pm 0.2427 0.2500 0.6242
4 Pm 0.7573 0.7500 0.3758
5 Pm 0.7604 0.2500 0.6867
6 Pm 0.7800 0.7500 0.9866
7 Cu 0.4979 0.7500 0.5580
8 Cu 0.5021 0.2500 0.4420
9 Te 0.0706 0.7500 0.8055
10 Te 0.9294 0.2500 0.1945
11 Cl 0.4728 0.7500 0.1293
12 Cl 0.5272 0.2500 0.8707